Arrangement i

Below is YCdC3 after structural relaxation, with properties calculated at the PBE level.

Cell: 4.5419 4.5419 4.5419 Å, 90.00 90.00 90.00°
Fractional coordinates of all 5 atoms:
1 Cd 0.5000 0.5000 0.5000
2 Y 0.0000 0.0000 0.0000
3 C 0.5000 0.0000 0.0000
4 C 0.0000 0.0000 0.5000
5 C 0.0000 0.5000 0.0000

Summary:
Spin magnetization (μB per formula unit): 0.000
Fermi-level density of states (states/eV/f.u.): 5.1
Space-group type: No. 221
Crystal system: cubic



Arrangement ii

Below is YCdC3 after structural relaxation, with properties calculated at the PBE level.

Cell: 4.2593 4.2593 4.2593 Å, 90.00 90.00 90.00°
Fractional coordinates of all 5 atoms:
1 C 0.5000 0.0000 0.0000
2 Y 0.5000 0.5000 0.5000
3 Cd 0.0000 0.0000 0.0000
4 C 0.0000 0.5000 0.0000
5 C 0.0000 0.0000 0.5000

Summary:
Spin magnetization (μB per formula unit): 0.000
Fermi-level density of states (states/eV/f.u.): 3.3
Space-group type: No. 221
Crystal system: cubic



Stability check: which of them is most stable? arrangement ii.